Computed, not measured: a relaxed structure of BaZnH2 at the PBE level of DFT.

a b c (Å): 4.8512 4.8512 6.7065
angles (deg): 68.80 68.80 90.00
Fractional positions:
Zn (0.2500, 0.7500, 0.5000)
Zn (0.5000, 0.5000, 0.0000)
H (0.3750, 0.6003, 0.7500)
H (0.3503, 0.6250, 0.2500)
H (0.8750, 0.6497, 0.7500)
H (0.3997, 0.1250, 0.2500)
Ba (0.0000, 0.0000, 0.0000)
Ba (0.7500, 0.2500, 0.5000)


Computed, not measured: a relaxed structure of Mg5NiAg at the PBE level of DFT.

Formation enthalpy at 0 K in eV per atom: -0.09

a b c (Å): 4.4405 4.4405 6.9898
angles (deg): 90.00 90.00 90.00
Fractional positions:
Ag (0.0000, 0.0000, 0.5000)
Mg (0.5000, 0.0000, 0.2074)
Mg (0.0000, 0.5000, 0.7926)
Mg (0.5000, 0.0000, 0.7926)
Mg (0.0000, 0.5000, 0.2074)
Mg (0.5000, 0.5000, 0.5000)
Ni (0.5000, 0.5000, 0.0000)


Computed, not measured: a relaxed structure of La4Dy3Pu at the PBE level of DFT.

Formation enthalpy at 0 K in eV per atom: 0.15

a b c (Å): 3.5135 11.6548 8.9400
angles (deg): 130.66 101.33 90.00
Site moments in Bohr magnetons follow the coordinates.
Fractional positions:
La (0.3709, 0.6239, 0.7419)  -0.03
La (0.6291, 0.3761, 0.2581)  -0.03
La (0.3711, 0.1179, 0.7422)  -0.03
La (0.6289, 0.8821, 0.2578)  -0.03
Dy (0.7690, 0.7690, 0.5380)  -0.13
Dy (0.0000, 0.5000, 0.0000)  0.09
Dy (0.2310, 0.2310, 0.4620)  -0.13
Pu (0.5000, 0.0000, 0.0000)  -5.67


Computed, not measured: a relaxed structure of Tb5As4Se at the PBE level of DFT.

a b c (Å): 5.8420 7.1555 7.1555
angles (deg): 80.41 65.91 65.91
Fractional positions:
Tb (0.5011, 0.0000, 0.0000)
Tb (0.1032, 0.5927, 0.2031)
Tb (0.3062, 0.7969, 0.5927)
Tb (0.6958, 0.2031, 0.4073)
Tb (0.8989, 0.4073, 0.7969)
As (0.6021, 0.6004, 0.1974)
As (0.2025, 0.1974, 0.3996)
As (0.7996, 0.8026, 0.6004)
As (0.3999, 0.3996, 0.8026)
Se (0.0011, 0.0000, 0.0000)


| no. | total DFT energy (no corrections) (eV per atom) | magnetic moment (μB/f.u.) |
| --- | --- | --- |
| 1 | -2.474 | 0.0 |
| 2 | -2.463 | 0.0 |
| 3 | -5.833 | 6.5 |
| 4 | -6.164 | 0.0 |